[1]
First-principles (GGA-PBE) data for crystalline TbGdP2Pd2O2 at its relaxed geometry, as listed in OQMD via LeMat-Bulk.

Unit cell a=4.0509 b=4.0509 c=7.8731 alpha=90.00 beta=90.00 gamma=90.00
Last column: nearest neighbours and their distance in Å.
Positions (direct):
Gd (0.0000, 0.0000, 0.8637)  4 O 2.30
O (0.5000, 0.0000, 0.0012)  2 Tb 2.28, 2 Gd 2.30
O (0.0000, 0.5000, 0.0012)  2 Tb 2.28, 2 Gd 2.30
P (0.0000, 0.0000, 0.3365)  4 Pd 2.40
P (0.5000, 0.5000, 0.6634)  4 Pd 2.40
Pd (0.5000, 0.0000, 0.4995)  4 P 2.40
Pd (0.0000, 0.5000, 0.4995)  4 P 2.40
Tb (0.5000, 0.5000, 0.1350)  4 O 2.28

Mass density in Mg/m³: 8.0
Calculated total energy in eV per formula unit: -55.442

=====

[2]
First-principles (GGA-PBE) data for crystalline LiAlAg2 at its relaxed geometry, as listed in OQMD via LeMat-Bulk.

Unit cell a=4.4525 b=4.4525 c=8.0711 alpha=90.00 beta=90.00 gamma=120.00
Last column: nearest neighbours and their distance in Å.
Positions (direct):
Ag (0.6667, 0.3333, 0.0834)  3 Li 2.66, 4 Ag 2.69-2.90, 4 Al 2.69-2.90
Ag (0.6667, 0.3333, 0.4166)  3 Li 2.66, 4 Ag 2.69-2.90, 4 Al 2.69-2.90
Ag (0.3333, 0.6667, 0.5834)  3 Li 2.66, 4 Ag 2.69-2.90, 4 Al 2.69-2.90
Ag (0.3333, 0.6667, 0.9166)  3 Li 2.66, 4 Ag 2.69-2.90, 4 Al 2.69-2.90
Al (0.3333, 0.6667, 0.2500)  8 Ag 2.69-2.90
Al (0.6667, 0.3333, 0.7500)  8 Ag 2.69-2.90
Li (0.0000, 0.0000, 0.0000)  6 Ag 2.66
Li (0.0000, 0.0000, 0.5000)  6 Ag 2.66

Mass density in Mg/m³: 6.0
Calculated total energy in eV per formula unit: -11.876

=====

[3]
First-principles (GGA-PBE) data for crystalline Tm2Ga5Co3 at its relaxed geometry, as listed in OQMD via LeMat-Bulk.

Unit cell a=8.2758 b=8.2758 c=8.2758 alpha=110.03 beta=82.79 gamma=141.54
Last column: nearest neighbours and their distance in Å.
Positions (direct):
Co (0.2500, 0.2500, 0.0000)  6 Ga 2.43-2.50, 2 Co 2.73
Co (0.7500, 0.7500, 0.0000)  6 Ga 2.43-2.50, 2 Co 2.73
Co (0.3484, 0.9179, 0.2663)  5 Ga 2.38-2.45
Co (0.8484, 0.5821, 0.4306)  5 Ga 2.38-2.45
Co (0.1516, 0.4179, 0.5694)  5 Ga 2.38-2.45
Co (0.6516, 0.0821, 0.7337)  5 Ga 2.38-2.45
Ga (0.4192, 0.6844, 0.1035)  3 Co 2.38-2.43
Ga (0.4513, 0.2500, 0.2013)  3 Co 2.41-2.50, 2 Ga 2.68
Ga (0.9513, 0.7500, 0.2013)  3 Co 2.41-2.50, 2 Ga 2.68
Ga (0.0808, 0.1844, 0.2652)  3 Co 2.38-2.43
Ga (0.7500, 0.2500, 0.5000)  4 Co 2.45, 2 Ga 2.73
Ga (0.2500, 0.7500, 0.5000)  4 Co 2.45, 2 Ga 2.73
Ga (0.9192, 0.8156, 0.7348)  3 Co 2.38-2.43
Ga (0.0487, 0.2500, 0.7987)  3 Co 2.41-2.50, 2 Ga 2.68
Ga (0.5487, 0.7500, 0.7987)  3 Co 2.41-2.50, 2 Ga 2.68
Ga (0.5808, 0.3156, 0.8965)  3 Co 2.38-2.43
Tm (0.8520, 0.2779, 0.1299)  4 Co 2.89-3.11, 9 Ga 2.98-3.13
Tm (0.6480, 0.7779, 0.4259)  4 Co 2.89-3.11, 9 Ga 2.98-3.13
Tm (0.3520, 0.2221, 0.5741)  4 Co 2.89-3.11, 9 Ga 2.98-3.13
Tm (0.1480, 0.7221, 0.8701)  4 Co 2.89-3.11, 9 Ga 2.98-3.13

Mass density in Mg/m³: 8.9
Calculated total energy in eV per formula unit: -50.417